1.
Here is a geometry-optimized Y2AlTc structure from Alexandria. Energies are from GGA-PBE.

Calculated values
For the formation energy from the elements, the calculation gives 9.9 kJ/mol of atoms. As for the calculated volume: 287 Å³ per cell.

The structure in CIF format:
```
data_Y2AlTc
_cell_length_a 3.4839
_cell_length_b 3.4839
_cell_length_c 27.3382
_cell_angle_alpha 90.00
_cell_angle_beta 90.00
_cell_angle_gamma 120.00
_symmetry_space_group_name_H-M 'R 3 m'
_symmetry_Int_Tables_number 160
_symmetry_space_group_name_Hall 'R 3 -2"'
loop_
_atom_site_label
_atom_site_fract_x
_atom_site_fract_y
_atom_site_fract_z
Y1 0.0000 0.0000 0.0000
Y2 0.0000 0.0000 0.2147
Al1 0.0000 0.0000 0.7507
Tc1 0.0000 0.0000 0.4727
```

---

2.
Here is a geometry-optimized Tb2Te2F structure from Alexandria. Energies are from GGA-PBE.

Calculated values
For the raw formation energy, the calculation gives -1.908 eV per atom. As for the calculated volume: 594 Å³ per cell.

The structure in CIF format:
```
data_Tb2Te2F
_cell_length_a 4.1108
_cell_length_b 4.1108
_cell_length_c 35.1612
_cell_angle_alpha 90.00
_cell_angle_beta 90.00
_cell_angle_gamma 90.00
_symmetry_space_group_name_H-M 'I 41/a m d'
_symmetry_Int_Tables_number 141
loop_
_symmetry_equiv_pos_as_xyz
'x,y,z'
'-x,-y,-z'
'-y+1/4,x+3/4,z+1/4'
'y+1/4,-x+3/4,-z+1/4'
'-x+1/2,-y,z+1/2'
'x+1/2,y,-z+1/2'
'y+1/4,-x+1/4,z+3/4'
'-y+1/4,x+1/4,-z+3/4'
'x,-y,-z'
'-x,y,z'
'-y+1/4,-x+1/4,-z+3/4'
'y+1/4,x+1/4,z+3/4'
'-x+1/2,y,-z+1/2'
'x+1/2,-y,z+1/2'
'y+1/4,x+3/4,-z+1/4'
'-y+1/4,-x+3/4,z+1/4'
'x+1/2,y+1/2,z+1/2'
'-x+1/2,-y+1/2,-z+1/2'
'-y+3/4,x+1/4,z+3/4'
'y+3/4,-x+1/4,-z+3/4'
'-x,-y+1/2,z'
'x,y+1/2,-z'
'y+3/4,-x+3/4,z+1/4'
'-y+3/4,x+3/4,-z+1/4'
'x+1/2,-y+1/2,-z+1/2'
'-x+1/2,y+1/2,z+1/2'
'-y+3/4,-x+3/4,-z+1/4'
'y+3/4,x+3/4,z+1/4'
'-x,y+1/2,-z'
'x,-y+1/2,z'
'y+3/4,x+1/4,-z+3/4'
'-y+3/4,-x+1/4,z+3/4'
loop_
_atom_site_label
_atom_site_fract_x
_atom_site_fract_y
_atom_site_fract_z
Tb1 0.0000 0.2500 0.0905
Te1 0.0000 0.2500 0.1937
F1 0.0000 0.2500 0.8750
```

---

3.
Here is a geometry-optimized Zn3BPt structure from Alexandria. Energies are from GGA-PBE.

Calculated values
For the formation energy from the elements, the calculation gives 22.2 kJ/mol of atoms. Its energy above the most stable polymorph in this dataset is 0.000 eV/atom. As for the calculated volume: 70 Å³ per cell.

The structure in CIF format:
```
data_Zn3BPt
_cell_length_a 4.1211
_cell_length_b 4.1211
_cell_length_c 4.1211
_cell_angle_alpha 90.00
_cell_angle_beta 90.00
_cell_angle_gamma 90.00
_symmetry_space_group_name_H-M 'P m -3 m'
_symmetry_Int_Tables_number 221
_symmetry_space_group_name_Hall '-P 4 2 3'
loop_
_atom_site_label
_atom_site_fract_x
_atom_site_fract_y
_atom_site_fract_z
Zn1 0.0000 0.0000 0.5000
B1 0.0000 0.0000 0.0000
Pt1 0.5000 0.5000 0.5000
```

---

4.
Here is a geometry-optimized Nd3SmO structure from Alexandria. Energies are from GGA-PBE.

Calculated values
For the raw formation energy, the calculation gives -1.084 eV per atom. As for the calculated volume: 134 Å³ per cell.

The structure in CIF format:
```
data_Nd3SmO
_cell_length_a 5.1177
_cell_length_b 5.1177
_cell_length_c 5.1177
_cell_angle_alpha 90.00
_cell_angle_beta 90.00
_cell_angle_gamma 90.00
_symmetry_space_group_name_H-M 'P m -3 m'
_symmetry_Int_Tables_number 221
_symmetry_space_group_name_Hall '-P 4 2 3'
loop_
_atom_site_label
_atom_site_fract_x
_atom_site_fract_y
_atom_site_fract_z
Nd1 0.0000 0.0000 0.5000
Sm1 0.5000 0.5000 0.5000
O1 0.0000 0.0000 0.0000
```

---

5.
Here is a geometry-optimized CeMnFe structure from Alexandria. Energies are from GGA-PBE.

Calculated values
For the formation energy from the elements, the calculation gives -2.2 kJ/mol of atoms. As for the calculated volume: 190 Å³ per cell.

The structure in CIF format:
```
data_CeMnFe
_cell_length_a 5.0860
_cell_length_b 5.1787
_cell_length_c 7.2177
_cell_angle_alpha 90.00
_cell_angle_beta 90.00
_cell_angle_gamma 90.00
_symmetry_space_group_name_H-M 'I m m a'
_symmetry_Int_Tables_number 74
_symmetry_space_group_name_Hall '-I 2b 2'
loop_
_atom_site_label
_atom_site_fract_x
_atom_site_fract_y
_atom_site_fract_z
Ce1 0.0000 0.2500 0.1233
Mn1 0.0000 0.0000 0.5000
Fe1 0.2500 0.2500 0.7500
```

---

6.
Here is a geometry-optimized Tl2Ag2SnTe4 structure from Alexandria. Energies are from GGA-PBE.

Calculated values
For the raw formation energy, the calculation gives -0.188 eV per atom. As for the calculated volume: 554 Å³ per cell.

The structure in CIF format:
```
data_Tl2Ag2SnTe4
_cell_length_a 16.8676
_cell_length_b 4.3357
_cell_length_c 8.2756
_cell_angle_alpha 90.00
_cell_angle_beta 113.68
_cell_angle_gamma 90.00
_symmetry_space_group_name_H-M 'C 1 2/m 1'
_symmetry_Int_Tables_number 12
_symmetry_space_group_name_Hall '-C 2y'
loop_
_atom_site_label
_atom_site_fract_x
_atom_site_fract_y
_atom_site_fract_z
Tl1 0.1305 0.0000 0.0681
Ag1 0.1919 0.5000 0.4852
Sn1 0.0000 0.0000 0.5000
Te1 0.0142 0.5000 0.2513
Te2 0.1988 0.0000 0.7134
```

---

7.
Here is a geometry-optimized CdIr3 structure from Alexandria. Energies are from GGA-PBE.

Calculated values
For the formation energy from the elements, the calculation gives 22.4 kJ/mol of atoms. As for the calculated volume: 125 Å³ per cell.

The structure in CIF format:
```
data_CdIr3
_cell_length_a 5.5725
_cell_length_b 8.0442
_cell_length_c 2.7853
_cell_angle_alpha 90.00
_cell_angle_beta 90.00
_cell_angle_gamma 90.00
_symmetry_space_group_name_H-M 'C m m m'
_symmetry_Int_Tables_number 65
_symmetry_space_group_name_Hall '-C 2 2'
loop_
_atom_site_label
_atom_site_fract_x
_atom_site_fract_y
_atom_site_fract_z
Cd1 0.0000 0.0000 0.0000
Ir1 0.0000 0.5000 0.0000
Ir2 0.2500 0.2500 0.5000
```

---

8.
Here is a geometry-optimized CaErTl structure from Alexandria. Energies are from GGA-PBE.

Calculated values
For the formation energy from the elements, the calculation gives -29.1 kJ/mol of atoms. Its energy above the most stable polymorph in this dataset is 0.000 eV/atom. As for the calculated volume: 173 Å³ per cell.

The structure in CIF format:
```
data_CaErTl
_cell_length_a 5.3757
_cell_length_b 5.3757
_cell_length_c 6.9301
_cell_angle_alpha 90.00
_cell_angle_beta 90.00
_cell_angle_gamma 120.00
_symmetry_space_group_name_H-M 'P 63/m m c'
_symmetry_Int_Tables_number 194
_symmetry_space_group_name_Hall '-P 6c 2c'
loop_
_atom_site_label
_atom_site_fract_x
_atom_site_fract_y
_atom_site_fract_z
Ca1 0.0000 0.0000 0.0000
Er1 0.3333 0.6667 0.2500
Tl1 0.3333 0.6667 0.7500
```

---

9.
Here is a geometry-optimized AcLa2SmHo5 structure from Alexandria. Energies are from GGA-PBE.

Calculated values
For the formation energy from the elements, the calculation gives 23.5 kJ/mol of atoms. As for the calculated volume: 1234 Å³ per cell.

The structure in CIF format:
```
data_AcLa2SmHo5
_cell_length_a 8.8046
_cell_length_b 8.8046
_cell_length_c 15.9141
_cell_angle_alpha 90.00
_cell_angle_beta 90.00
_cell_angle_gamma 90.00
_symmetry_space_group_name_H-M 'I 4/m c m'
_symmetry_Int_Tables_number 140
_symmetry_space_group_name_Hall '-I 4 2c'
loop_
_atom_site_label
_atom_site_fract_x
_atom_site_fract_y
_atom_site_fract_z
Ac1 0.0000 0.0000 0.2500
La1 0.1172 0.3828 0.0000
Sm1 0.0000 0.5000 0.2500
Ho1 0.0000 0.0000 0.0000
Ho2 0.2109 0.2891 0.3640
```

---

10.
Here is a geometry-optimized BaTeP3 structure from Alexandria. Energies are from GGA-PBE.

Calculated values
For the raw formation energy, the calculation gives 1.554 eV per atom. Its energy above the most stable polymorph in this dataset is 1.301 eV/atom. As for the calculated volume: 176 Å³ per cell.

The structure in CIF format:
```
data_BaTeP3
_cell_length_a 5.6021
_cell_length_b 5.6021
_cell_length_c 5.6021
_cell_angle_alpha 90.00
_cell_angle_beta 90.00
_cell_angle_gamma 90.00
_symmetry_space_group_name_H-M 'P m -3 m'
_symmetry_Int_Tables_number 221
_symmetry_space_group_name_Hall '-P 4 2 3'
loop_
_atom_site_label
_atom_site_fract_x
_atom_site_fract_y
_atom_site_fract_z
Ba1 0.0000 0.0000 0.0000
Te1 0.5000 0.5000 0.5000
P1 0.0000 0.0000 0.5000
```

---

11.
Here is a geometry-optimized TiTc2Ge structure from Alexandria. Energies are from GGA-PBE.

Calculated values
For the formation energy from the elements, the calculation gives 36.8 kJ/mol of atoms. As for the calculated volume: 259 Å³ per cell.

The structure in CIF format:
```
data_TiTc2Ge
_cell_length_a 6.7319
_cell_length_b 6.7319
_cell_length_c 5.7260
_cell_angle_alpha 90.00
_cell_angle_beta 90.00
_cell_angle_gamma 90.00
_symmetry_space_group_name_H-M 'I -4 2 d'
_symmetry_Int_Tables_number 122
_symmetry_space_group_name_Hall 'I -4 2bw'
loop_
_atom_site_label
_atom_site_fract_x
_atom_site_fract_y
_atom_site_fract_z
Ti1 0.0000 0.0000 0.0000
Tc1 0.2363 0.2500 0.6250
Ge1 0.0000 0.0000 0.5000
```

---

12.
Here is a geometry-optimized Tb8Sn2Ge structure from Alexandria. Energies are from GGA-PBE.

Calculated values
For the formation energy from the elements, the calculation gives -40.6 kJ/mol of atoms. As for the calculated volume: 639 Å³ per cell.

The structure in CIF format:
```
data_Tb8Sn2Ge
_cell_length_a 19.4827
_cell_length_b 5.0162
_cell_length_c 6.7443
_cell_angle_alpha 90.00
_cell_angle_beta 104.08
_cell_angle_gamma 90.00
_symmetry_space_group_name_H-M 'C 1 2/m 1'
_symmetry_Int_Tables_number 12
_symmetry_space_group_name_Hall '-C 2y'
loop_
_atom_site_label
_atom_site_fract_x
_atom_site_fract_y
_atom_site_fract_z
Tb1 0.0215 0.0000 0.2765
Tb2 0.0903 0.5000 0.9667
Tb3 0.1526 0.5000 0.5026
Tb4 0.2189 0.0000 0.8228
Sn1 0.1810 0.0000 0.2584
Ge1 0.0000 0.5000 0.5000
```